[1]
Computed, not measured: a relaxed ZrWO2 crystal at the PBE with a Hubbard U level of DFT.

For the density, the calculation gives 10416 kg/m3. For the polymorph energy (0 for the lowest one), the calculation gives 0.842 eV per atom.

The structure belongs to space group Fm-3m (No. 225); the cell edges are 5.807, 5.807 and 5.807 Å and the angles 90.00°, 90.00° and 90.00°. The asymmetric unit holds Zr at (0.000, 0.000, 0.000), W at (0.000, 0.000, 0.500) and O at (0.250, 0.250, 0.250).



[2]
Computed, not measured: a relaxed ZrWO3 crystal at the PBE with a Hubbard U level of DFT.

For the density, the calculation gives 7653 kg/m3. The final energy comes out at -7.58 eV/atom.

The structure belongs to space group Pm-3m (No. 221); the cell edges are 4.123, 4.123 and 4.123 Å and the angles 90.00°, 90.00° and 90.00°. The asymmetric unit holds Zr at (0.000, 0.000, 0.000), W at (0.500, 0.500, 0.500) and O at (0.000, 0.000, 0.500).



[3]
Computed, not measured: a relaxed ZrW3O crystal at the PBE with a Hubbard U level of DFT.

For the density, the calculation gives 13444 kg/m3. For the polymorph energy (0 for the lowest one), the calculation gives 0.000 eV per atom.

The structure belongs to space group Pm-3m (No. 221); the cell edges are 4.333, 4.333 and 4.333 Å and the angles 90.00°, 90.00° and 90.00°. The asymmetric unit holds Zr at (0.000, 0.000, 0.000), W at (0.000, 0.500, 0.500) and O at (0.500, 0.500, 0.500).



[4]
Computed, not measured: a relaxed ZrWO2 crystal at the PBE with a Hubbard U level of DFT.

For the density, the calculation gives 8355 kg/m3. For the polymorph energy (0 for the lowest one), the calculation gives 0.137 eV per atom.

The structure belongs to space group I-42d (No. 122); the cell edges are 4.946, 4.946 and 9.980 Å and the angles 90.00°, 90.00° and 90.00°. The asymmetric unit holds Zr at (0.000, 0.000, 0.000), W at (0.000, 0.000, 0.500) and O at (0.235, 0.250, 0.125).



[5]
Computed, not measured: a relaxed ZrWO5 crystal at the PBE with a Hubbard U level of DFT.

For the density, the calculation gives 5801 kg/m3. The final energy comes out at -7.83 eV/atom.

The structure belongs to space group Immm (No. 71); the cell edges are 3.782, 6.663 and 8.067 Å and the angles 90.00°, 90.00° and 90.00°. The asymmetric unit holds Zr at (0.000, 0.000, 0.000), W at (0.000, 0.000, 0.500), O at (0.000, 0.000, 0.273), O at (0.000, 0.323, 0.000) and O at (0.000, 0.500, 0.500).



[6]
Computed, not measured: a relaxed ZrWO3 crystal at the PBE with a Hubbard U level of DFT.

For the density, the calculation gives 8205 kg/m3. The final energy comes out at -7.46 eV/atom.

The structure belongs to space group Pm-3m (No. 221); the cell edges are 4.029, 4.029 and 4.029 Å and the angles 90.00°, 90.00° and 90.00°. The asymmetric unit holds Zr at (0.000, 0.000, 0.000), W at (0.500, 0.500, 0.500) and O at (0.000, 0.500, 0.500).



[7]
Computed, not measured: a relaxed ZrW2O8 crystal at the PBE with a Hubbard U level of DFT.

For the density, the calculation gives 4751 kg/m3. The final energy comes out at -7.98 eV/atom.

The structure belongs to space group P2_13 (No. 198); the cell edges are 9.362, 9.362 and 9.362 Å and the angles 90.00°, 90.00° and 90.00°. The asymmetric unit holds Zr at (0.002, 0.002, 0.002), W at (0.099, 0.901, 0.401), W at (0.155, 0.655, 0.845), O at (0.011, 0.511, 0.989), O at (0.053, 0.795, 0.941), O at (0.055, 0.714, 0.433) and O at (0.237, 0.237, 0.237).



[8]
Computed, not measured: a relaxed ZrW3O crystal at the PBE with a Hubbard U level of DFT.

For the density, the calculation gives 7130 kg/m3. For the polymorph energy (0 for the lowest one), the calculation gives 2.514 eV per atom.

The structure belongs to space group Pm-3m (No. 221); the cell edges are 5.353, 5.353 and 5.353 Å and the angles 90.00°, 90.00° and 90.00°. The asymmetric unit holds Zr at (0.000, 0.000, 0.000), W at (0.000, 0.000, 0.500) and O at (0.500, 0.500, 0.500).